# VPd3Au12

A geometry-optimized VPd3Au12 structure (PBE, Alexandria).

Cell lengths 4.112, 4.112, 16.384 Å; angles 90.00, 90.00, 90.00 degrees
Atoms (fractional coordinates):
V (0.000, 0.000, 0.000)
Pd (0.000, 0.000, 0.250)
Pd (0.000, 0.000, 0.500)
Pd (0.000, 0.000, 0.750)
Au (0.000, 0.500, 0.124)
Au (0.000, 0.500, 0.375)
Au (0.000, 0.500, 0.625)
Au (0.000, 0.500, 0.876)
Au (0.500, 0.000, 0.124)
Au (0.500, 0.000, 0.375)
Au (0.500, 0.000, 0.625)
Au (0.500, 0.000, 0.876)
Au (0.500, 0.500, 0.000)
Au (0.500, 0.500, 0.250)
Au (0.500, 0.500, 0.500)
Au (0.500, 0.500, 0.750)

N(E_F): 0.66 states/eV per atom
Mass density: 16.4 g/cm3
Formation energy from the elements: -29.0 meV/atom
Symmetry: P4/mmm (123)